MgZr2Ti: optimized geometry, PBE.

Unit cell a=4.1466 b=4.1466 c=20.6355 alpha=90.00 beta=90.00 gamma=90.00
Closest atoms and distances in Å follow each position.
Space group I-42d (No. 122)
Inequivalent atoms, fractional coordinates:
Mg  0.0000  0.0000  0.0000 [4 per cell]  4 Ti 2.93, 4 Zr 2.98
Zr  0.2427  0.2500  0.6250 [8 per cell]  4 Zr 2.89-2.98, 2 Ti 2.96, 2 Mg 2.98
Ti  0.0000  0.0000  0.5000 [4 per cell]  4 Mg 2.93, 4 Zr 2.96

Values from the calculation:
Formation energy from the elements, eV/atom: 0.53
Electronic total energy, eV per cell: -97.935
Theoretical density, g cm⁻³: 4.77